No. 1
SrCd2SnP: optimized geometry, PBE.

Results
- DFT formation energy (eV per atom) = 1.107
- final energy (eV/f.u.) = -7.4

Lattice parameters (Å, degrees): 6.2457 6.2457 6.3673 90.00 90.00 90.00
Fractional positions:
Sr 0.0000 0.0000 0.0000
Cd 0.0000 0.5000 0.0000
Cd 0.5000 0.0000 0.0000
Sn 0.0000 0.0000 0.5000
P 0.5000 0.5000 0.5000

***

No. 2
TbCd9Cu2: optimized geometry, PBE.

Results
- DFT formation energy (eV per atom) = -0.075
- final energy (eV/f.u.) = -22.0

Lattice parameters (Å, degrees): 9.0445 9.0445 9.0445 99.55 99.55 131.93
Fractional positions:
Tb 0.3750 0.6250 0.7500
Tb 0.6250 0.3750 0.2500
Cd 0.1239 0.5573 0.3249
Cd 0.1239 0.7990 0.5666
Cd 0.1250 0.8750 0.2500
Cd 0.2010 0.2676 0.3249
Cd 0.2010 0.8761 0.9334
Cd 0.2676 0.2010 0.8249
Cd 0.2676 0.4427 0.0666
Cd 0.4427 0.2676 0.5666
Cd 0.4427 0.8761 0.1751
Cd 0.5573 0.1239 0.8249
Cd 0.5573 0.7324 0.4334
Cd 0.7324 0.5573 0.9334
Cd 0.7324 0.7990 0.1751
Cd 0.7990 0.1239 0.0666
Cd 0.7990 0.7324 0.6751
Cd 0.8750 0.1250 0.7500
Cd 0.8761 0.2010 0.4334
Cd 0.8761 0.4427 0.6751
Cu 0.0000 0.0000 0.0000
Cu 0.0000 0.0000 0.5000
Cu 0.0000 0.5000 0.0000
Cu 0.5000 0.0000 0.5000

***

No. 3
RbGaC: optimized geometry, PBE.

Results
- DFT formation energy (eV per atom) = 0.296
- final energy (eV/f.u.) = -12.3

Lattice parameters (Å, degrees): 4.4056 4.7198 9.5039 86.70 76.75 89.99
Fractional positions:
Rb 0.1402 0.2164 0.2157
Rb 0.8598 0.7836 0.7843
Ga 0.4599 0.2367 0.5811
Ga 0.5401 0.7633 0.4189
C 0.1486 0.5000 0.5000
C 0.8514 0.5000 0.5000

***

No. 4
CaTaSi2Pd: optimized geometry, PBE.

Results
- final energy (eV/f.u.) = -28.9
- formation energy (no corrections) (eV per atom) = 0.195

Lattice parameters (Å, degrees): 4.8662 4.8662 4.9951 90.00 90.00 90.00
Fractional positions:
Ca 0.0000 0.0000 0.0000
Ta 0.5000 0.5000 0.5000
Si 0.0000 0.5000 0.5000
Si 0.5000 0.0000 0.5000
Pd 0.5000 0.5000 0.0000

***

No. 5
CsKNa2Cl: optimized geometry, PBE.

Results
- energy above the lowest structure with this stoichiometry (eV per atom) = 0.0000
- final energy (eV/f.u.) = -9.2
- formation energy (no corrections) (eV per atom) = -0.561

Lattice parameters (Å, degrees): 6.1306 6.1306 6.7908 90.00 90.00 90.00
Fractional positions:
Cs 0.0000 0.0000 0.0000
K 0.5000 0.5000 0.0000
Na 0.0000 0.5000 0.5000
Na 0.5000 0.0000 0.5000
Cl 0.0000 0.0000 0.5000

***

No. 6
Mn2ReRu: optimized geometry, PBE.

Results
- DFT formation energy (eV per atom) = 0.064
- final energy (eV/f.u.) = -39.8

Lattice parameters (Å, degrees): 4.5985 4.5985 4.5589 100.08 100.08 33.88
Fractional positions:
Mn 0.0000 0.0000 0.0000
Mn 0.7442 0.7442 0.2255
Re 0.4950 0.4950 0.4905
Ru 0.2505 0.2505 0.7393

***

No. 7
Mg2Si3Ir2: optimized geometry, PBE.

Results
- final energy (eV/f.u.) = -41.0
- formation energy (no corrections) (eV per atom) = -0.551

Lattice parameters (Å, degrees): 5.0574 5.0574 6.6359 111.63 111.63 45.54
Fractional positions:
Mg 0.1636 0.1636 0.3009
Mg 0.8364 0.8364 0.6991
Si 0.3746 0.3746 0.0429
Si 0.5000 0.5000 0.5000
Si 0.6254 0.6254 0.9571
Ir 0.1280 0.1280 0.7206
Ir 0.8720 0.8720 0.2794

***

No. 8
ZnCd2GaHg: optimized geometry, PBE.

Results
- energy above the lowest structure with this stoichiometry (eV per atom) = 0.1071
- DFT formation energy (eV per atom) = 0.299
- final energy (eV/f.u.) = -4.9

Lattice parameters (Å, degrees): 5.2853 5.2853 5.2862 90.00 90.00 90.00
Fractional positions:
Zn 0.0000 0.0000 0.0000
Cd 0.0000 0.5000 0.5000
Cd 0.5000 0.0000 0.5000
Ga 0.5000 0.5000 0.5000
Hg 0.5000 0.5000 0.0000

***

No. 9
AlOsRu2: optimized geometry, PBE.

Results
- DFT formation energy (eV per atom) = -0.064
- final energy (eV/f.u.) = -33.8

Lattice parameters (Å, degrees): 4.0801 5.2402 5.2402 30.37 90.00 90.00
Fractional positions:
Al 0.0000 0.0000 0.0000
Os 0.5000 0.1475 0.1475
Ru 0.0000 0.7502 0.7502
Ru 0.5000 0.4086 0.4086

***

No. 10
AcCeThN3: optimized geometry, PBE.

Results
- final energy (eV/f.u.) = -49.6
- formation energy (no corrections) (eV per atom) = -1.187

Lattice parameters (Å, degrees): 7.1110 3.5783 10.1996 90.00 92.16 90.00
Fractional positions:
Ac 0.1307 0.2500 0.2902
Ac 0.8693 0.7500 0.7098
Ce 0.1988 0.2500 0.9442
Ce 0.8012 0.7500 0.0558
Th 0.3718 0.7500 0.6279
Th 0.6282 0.2500 0.3721
N 0.1245 0.7500 0.0844
N 0.1721 0.2500 0.6988
N 0.3796 0.7500 0.4009
N 0.6204 0.2500 0.5991
N 0.8279 0.7500 0.3012
N 0.8755 0.2500 0.9156

***

No. 11
PrEuHgIr: optimized geometry, PBE.

Results
- DFT formation energy (eV per atom) = -0.415
- final energy (eV/f.u.) = -25.9

Lattice parameters (Å, degrees): 5.2113 5.2113 5.2113 60.00 60.00 60.00
Fractional positions:
Pr 0.0000 0.0000 0.0000
Eu 0.5000 0.5000 0.5000
Hg 0.7500 0.7500 0.7500
Ir 0.2500 0.2500 0.2500

***

No. 12
CeNd3Bi3: optimized geometry, PBE.

Results
- DFT formation energy (eV per atom) = -0.675
- final energy (eV/f.u.) = -36.6

Lattice parameters (Å, degrees): 8.4506 8.4506 8.4506 68.32 68.32 68.32
Fractional positions:
Ce 0.1669 0.1669 0.1669
Ce 0.8331 0.8331 0.8331
Nd 0.1521 0.6797 0.4106
Nd 0.3203 0.5894 0.8479
Nd 0.4106 0.1521 0.6797
Nd 0.5894 0.8479 0.3203
Nd 0.6797 0.4106 0.1521
Nd 0.8479 0.3203 0.5894
Bi 0.0341 0.4226 0.8018
Bi 0.1982 0.9659 0.5774
Bi 0.4226 0.8018 0.0341
Bi 0.5774 0.1982 0.9659
Bi 0.8018 0.0341 0.4226
Bi 0.9659 0.5774 0.1982

***

No. 13
Sm3CuGe6Pd2: optimized geometry, PBE.

Results
- DFT formation energy (eV per atom) = -0.417
- final energy (eV/f.u.) = -61.4

Lattice parameters (Å, degrees): 5.8882 5.8882 8.2796 90.00 90.00 120.00
Fractional positions:
Sm 0.0000 0.0000 0.0000
Sm 0.3333 0.6667 0.6138
Sm 0.6667 0.3333 0.3862
Cu 0.0000 0.0000 0.5000
Ge 0.1831 0.3661 0.2820
Ge 0.1831 0.8169 0.2820
Ge 0.3661 0.1831 0.7180
Ge 0.6339 0.8169 0.2820
Ge 0.8169 0.1831 0.7180
Ge 0.8169 0.6339 0.7180
Pd 0.3333 0.6667 0.0241
Pd 0.6667 0.3333 0.9759

***

No. 14
Li3Zn6Ru: optimized geometry, PBE.

Results
- DFT formation energy (eV per atom) = -0.031
- final energy (eV/f.u.) = -23.0

Lattice parameters (Å, degrees): 6.7087 6.7087 4.3649 108.82 108.82 60.94
Fractional positions:
Li 0.0000 0.0000 0.0000
Li 0.3768 0.3768 0.8763
Li 0.6232 0.6232 0.1237
Zn 0.0576 0.6897 0.3723
Zn 0.2438 0.2438 0.2426
Zn 0.3103 0.9424 0.6277
Zn 0.6897 0.0576 0.3723
Zn 0.7562 0.7562 0.7574
Zn 0.9424 0.3103 0.6277
Ru 0.5000 0.5000 0.5000

***

No. 15
TcAs2: optimized geometry, PBE.

Results
- energy above the lowest structure with this stoichiometry (eV per atom) = 0.1012
- DFT formation energy (eV per atom) = -0.090
- final energy (eV/f.u.) = -19.9

Lattice parameters (Å, degrees): 3.2125 3.2125 5.7772 90.00 90.00 120.00
Fractional positions:
Tc 0.0000 0.0000 0.0000
As 0.3333 0.6667 0.3001
As 0.6667 0.3333 0.6999

***

No. 16
ErPuGa6: optimized geometry, PBE.

Results
- DFT formation energy (eV per atom) = -0.447
- final energy (eV/f.u.) = -40.6

Lattice parameters (Å, degrees): 6.1757 6.1757 4.6555 90.00 90.00 120.00
Fractional positions:
Er 0.0000 0.0000 0.0000
Pu 0.3333 0.6667 0.5000
Ga 0.3609 0.1804 0.5000
Ga 0.5141 0.0282 0.0000
Ga 0.5141 0.4859 0.0000
Ga 0.8196 0.1804 0.5000
Ga 0.8196 0.6391 0.5000
Ga 0.9718 0.4859 0.0000

***

No. 17
Tl5BiAu6: optimized geometry, PBE.

Results
- DFT formation energy (eV per atom) = 0.012
- final energy (eV/f.u.) = -35.2

Lattice parameters (Å, degrees): 7.8894 7.8894 6.5206 101.15 101.15 123.87
Fractional positions:
Tl 0.0000 0.0000 0.0000
Tl 0.1300 0.8700 0.5000
Tl 0.3055 0.6945 0.0000
Tl 0.6945 0.3055 0.0000
Tl 0.8700 0.1300 0.5000
Bi 0.5000 0.5000 0.5000
Au 0.1129 0.4716 0.3129
Au 0.3080 0.3080 0.8247
Au 0.4716 0.1129 0.3129
Au 0.5284 0.8871 0.6871
Au 0.6920 0.6920 0.1753
Au 0.8871 0.5284 0.6871

***

No. 18
HfZr3Cd3: optimized geometry, PBE.

Results
- DFT formation energy (eV per atom) = 0.015
- final energy (eV/f.u.) = -38.2

Lattice parameters (Å, degrees): 4.3908 5.6072 14.6608 84.93 81.43 66.97
Fractional positions:
Hf 0.1350 0.1976 0.0323
Hf 0.8650 0.8024 0.9677
Zr 0.0547 0.6267 0.7613
Zr 0.3327 0.0054 0.8274
Zr 0.4039 0.5917 0.1020
Zr 0.5961 0.4083 0.8980
Zr 0.6673 0.9946 0.1726
Zr 0.9453 0.3733 0.2387
Cd 0.2044 0.7837 0.3094
Cd 0.2560 0.4243 0.5630
Cd 0.4794 0.1606 0.3828
Cd 0.5206 0.8394 0.6172
Cd 0.7440 0.5757 0.4370
Cd 0.7956 0.2163 0.6906

***

No. 19
YMnOs: optimized geometry, PBE.

Results
- energy above the lowest structure with this stoichiometry (eV per atom) = 0.3515
- DFT formation energy (eV per atom) = 0.153
- final energy (eV/f.u.) = -26.4

Lattice parameters (Å, degrees): 6.1271 6.1271 6.1271 151.50 151.50 40.75
Fractional positions:
Y 0.0000 0.0000 0.0000
Mn 0.3044 0.3044 0.0000
Os 0.6991 0.6991 0.0000

***

No. 20
LiCeIn3: optimized geometry, PBE.

Results
- energy above the lowest structure with this stoichiometry (eV per atom) = 0.0175
- DFT formation energy (eV per atom) = -0.196
- final energy (eV/f.u.) = -17.0

Lattice parameters (Å, degrees): 5.2384 5.2384 10.5888 90.00 90.00 120.00
Fractional positions:
Li 0.0000 0.0000 0.0000
Li 0.0000 0.0000 0.5000
Ce 0.3333 0.6667 0.2500
Ce 0.6667 0.3333 0.7500
In 0.0000 0.0000 0.2500
In 0.0000 0.0000 0.7500
In 0.3333 0.6667 0.5810
In 0.3333 0.6667 0.9190
In 0.6667 0.3333 0.0810
In 0.6667 0.3333 0.4190

***

No. 21
SrAgTe2Se4: optimized geometry, PBE.

Results
- final energy (eV/f.u.) = -28.5
- formation energy (no corrections) (eV per atom) = -0.473

Lattice parameters (Å, degrees): 6.6119 6.6119 6.6119 109.22 109.22 109.97
Fractional positions:
Sr 0.0000 0.0000 0.0000
Ag 0.5000 0.5000 0.0000
Te 0.2500 0.7500 0.5000
Te 0.7500 0.2500 0.5000
Se 0.1041 0.5256 0.0000
Se 0.4744 0.4744 0.5785
Se 0.5256 0.1041 0.0000
Se 0.8959 0.8959 0.4215

***

No. 22
MgB2: optimized geometry, PBE.

Results
- energy above the lowest structure with this stoichiometry (eV per atom) = 0.1183
- DFT formation energy (eV per atom) = -0.010
- final energy (eV/f.u.) = -15.0

Lattice parameters (Å, degrees): 3.1128 3.1139 7.5936 88.02 81.38 60.88
Fractional positions:
Mg 0.2416 0.1565 0.3290
Mg 0.7584 0.8435 0.6710
B 0.0096 0.1783 0.8960
B 0.3524 0.5223 0.8964
B 0.6476 0.4777 0.1036
B 0.9904 0.8217 0.1040

***

No. 23
Sc2As2I: optimized geometry, PBE.

Results
- energy above the lowest structure with this stoichiometry (eV per atom) = 0.0000
- final energy (eV/f.u.) = -27.8
- formation energy (no corrections) (eV per atom) = -0.864

Lattice parameters (Å, degrees): 5.9046 5.9046 5.9046 129.34 129.34 74.46
Fractional positions:
Sc 0.2500 0.7500 0.5000
Sc 0.7500 0.2500 0.5000
As 0.1359 0.1359 0.0000
As 0.8641 0.8641 0.0000
I 0.5000 0.5000 0.0000

***

No. 24
TlRhBr4: optimized geometry, PBE.

Results
- final energy (eV/f.u.) = -19.4
- formation energy (no corrections) (eV per atom) = -0.496

Lattice parameters (Å, degrees): 6.1960 6.1960 8.5515 111.50 111.50 36.30
Fractional positions:
Tl 0.0000 0.0000 0.0000
Rh 0.5000 0.5000 0.5000
Br 0.1182 0.1182 0.4447
Br 0.3556 0.3556 0.1919
Br 0.6444 0.6444 0.8081
Br 0.8818 0.8818 0.5553